PmPuAs (PBE-GGA, relaxed); energy relative to the lowest polymorph listed for this composition = 0 meV/atom; E_tot = -8.48 eV/atom; calculated volume = 85.50 Å³/cell
1.0
4.945 0.000 0.000
2.472 4.282 0.000
2.472 1.427 4.037
Pm As Pu
1 1 1
Direct
0.500 0.500 0.500 Pm
0.250 0.250 0.250 As
0.000 0.000 0.000 Pu